Entry from the Alexandria database: a crystal of CuIr2Cl relaxed with PBEsol (meta-GGA SCAN). Values from VASP.

```
&SYSTEM
  ibrav = 0, nat = 4, ntyp = 3
/
ATOMIC_SPECIES
Ir 192.22 Ir.upf
Cu 63.55 Cu.upf
Cl 35.45 Cl.upf
ATOMIC_POSITIONS crystal
Ir 0.732 0.000 0.758
Ir 0.268 0.000 0.242
Cu 0.000 0.500 0.000
Cl 0.500 0.500 0.500
CELL_PARAMETERS angstrom
-2.625 0.370 0.899
0.772 -2.682 3.362
1.564 3.594 2.508
```

Summary:
Final energy   -40.65 eV/atom
E above lowest polymorph   0.239 eV/atom
Calculated volume   14.22 Å³/atom
Formation energy without anion corrections   696 meV per atom
Size of the total moment   0.0000 μB/atom